1.
Density functional theory data (PBE-GGA) for a geometry-optimized FeCo2Ni6 structure.

Values from the calculation:
Total magnetic moment, μB/f.u.: 9.46
Fermi-level density of states, states/eV per atom: 1.195
Final energy, eV/cell: -56.80
E_form, meV per atom: 62.5

abc: 7.326 6.564 4.386
angles: 81.36 62.34 36.29
Positions (direct):
Fe 0.000 0.000 0.000
Co 0.331 0.331 0.669
Co 0.669 0.669 0.331
Ni 0.001 0.668 0.332
Ni 0.332 0.999 0.001
Ni 0.337 0.663 0.337
Ni 0.663 0.337 0.663
Ni 0.668 0.001 0.999
Ni 0.999 0.332 0.668

---

2.
Density functional theory data (PBE-GGA) for a geometry-optimized ErThCuPt structure.

Values from the calculation:
Total magnetic moment, μB/f.u.: 0.00
Fermi-level density of states, states/eV per atom: 1.026
Final energy, eV/cell: -24.74
E_form, meV per atom: -655.2

abc: 5.012 5.012 5.012
angles: 60.00 60.00 60.00
Positions (direct):
Er 0.000 0.000 0.000
Th 0.500 0.500 0.500
Cu 0.750 0.750 0.750
Pt 0.250 0.250 0.250